Sm4ZrP5: optimized geometry, PBE.

Unit cell a=5.7083 b=6.9707 c=6.9707 alpha=80.35 beta=65.83 gamma=65.83
With the nearest neighbours (Å) after each atom.
Sites, in units of the cell vectors:
Sm 0.4042 0.3969 0.7967  6 P 2.84-2.94
Sm 0.5978 0.6031 0.2033  6 P 2.84-2.94
Sm 0.8011 0.7967 0.6031  6 P 2.84-2.94
Sm 0.2009 0.2033 0.3969  6 P 2.84-2.94
P 0.0973 0.6165 0.1910  1 Zr 2.72, 5 Sm 2.86-2.94
P 0.9047 0.3835 0.8090  1 Zr 2.72, 5 Sm 2.86-2.94
P 0.5009 0.0000 0.0000  4 Sm 2.84, 2 Zr 2.85-2.86
P 0.7138 0.1910 0.3835  1 Zr 2.72, 5 Sm 2.86-2.94
P 0.2883 0.8090 0.6165  1 Zr 2.72, 5 Sm 2.86-2.94
Zr 0.0013 0.0000 0.0000  6 P 2.72-2.86

Values from the calculation:
The volume is 23.1 Å³/atom. For the formation enthalpy at 0 K, the calculation gives -15.1 eV/f.u. The value obtained for the density of states at the Fermi level is 2.2 states/eV per cell.